Entry 1:
This record from Alexandria via LeMat-Bulk describes crystalline CdTeMo2Ir at its relaxed geometry. The functional is PBE.

Cell and atoms, written as POSCAR:
```
CdTeMo2Ir
1.0
-2.939 -2.080 2.449
2.145 -1.917 0.946
4.603 10.747 11.347
Mo Cd Ir Te
4 2 2 2
Direct
0.214 0.500 0.743 Mo
0.214 0.000 0.243 Mo
0.656 0.500 0.211 Mo
0.656 0.000 0.711 Mo
0.536 0.000 0.039 Cd
0.536 0.500 0.539 Cd
0.066 0.500 0.109 Ir
0.066 0.000 0.609 Ir
0.984 0.000 0.871 Te
0.984 0.500 0.371 Te
```

Values from the calculation:
The uncorrected formation energy is 316.7 meV per atom. The calculation puts the calculated density at 9.71 g/cm³. The volume comes out at 213.45 Å³/cell. The calculation puts the density of states at the Fermi level at 7.7 states/eV per cell. For the energy above the lowest structure with this stoichiometry, the calculation gives 0.115 eV/atom. As for the space-group type: Cm, No. 8.



Entry 2:
This record from Alexandria via LeMat-Bulk describes crystalline CdTeMo2Ir at its relaxed geometry. The functional is PBE.

Cell and atoms, written as POSCAR:
```
CdTeMo2Ir
1.0
-0.435 1.093 -2.717
2.127 -3.258 -1.652
-6.561 -4.534 0.494
Cd Te Ir Mo
1 1 1 2
Direct
0.974 0.000 0.309 Cd
0.143 0.500 0.719 Te
0.519 0.500 0.436 Ir
0.414 0.500 0.103 Mo
0.056 0.000 0.948 Mo
```

Values from the calculation:
The uncorrected formation energy is 357.0 meV per atom. The calculation puts the calculated density at 10.48 g/cm³. The volume comes out at 98.92 Å³/cell. The calculation puts the density of states at the Fermi level at 3.3 states/eV per cell. For the energy above the lowest structure with this stoichiometry, the calculation gives 0.155 eV/atom. As for the space-group type: Pm, No. 6.



Entry 3:
This record from Alexandria via LeMat-Bulk describes crystalline CdTeMo2Ir at its relaxed geometry. The functional is PBE.

Cell and atoms, written as POSCAR:
```
CdTeMo2Ir
1.0
3.233 0.000 0.000
0.000 4.225 -0.001
-0.089 -0.812 8.384
Mo Ir Te Cd
2 1 1 1
Direct
0.095 0.282 0.052 Mo
0.594 0.775 0.020 Mo
0.101 0.823 0.268 Ir
0.588 0.230 0.792 Te
0.604 0.346 0.382 Cd
```

Values from the calculation:
The uncorrected formation energy is 210.1 meV per atom. The calculation puts the calculated density at 9.05 g/cm³. The volume comes out at 114.53 Å³/cell. The calculation puts the density of states at the Fermi level at 3.2 states/eV per cell. For the energy above the lowest structure with this stoichiometry, the calculation gives 0.008 eV/atom. As for the space-group type: P1, No. 1.